16
Lattice="5.131 0.000 0.000 0.000 5.131 0.000 0.000 0.000 5.636" Properties=species:S:1:pos:R:3 comment="ReAgH2 | the Alexandria database | meta-GGA SCAN | PBEsol geometry" magnetic_moment_mub_per_fu=0.000 polymorph_energy_mev_per_atom=0 n_ef_per_ev_cell=2.66 rho_g_cm3=13.25 crystal_system=tetragonal pbc="T T T"
Re 0.000 0.000 0.000
Re 0.000 2.565 1.409
Re 2.565 0.000 4.227
Re 2.565 2.565 2.818
Ag 0.000 0.000 2.818
Ag 0.000 2.565 4.227
Ag 2.565 0.000 1.409
Ag 2.565 2.565 0.000
H 1.007 1.283 0.705
H 1.283 3.572 2.114
H 1.283 4.124 4.932
H 1.559 1.283 3.523
H 3.572 3.848 3.523
H 3.848 1.007 4.932
H 3.848 1.559 2.114
H 4.124 3.848 0.705

5
Lattice="3.460 0.000 0.000 0.000 3.460 0.000 0.000 0.000 3.460" Properties=species:S:1:pos:R:3 comment="ReAgH3 | the Alexandria database | meta-GGA SCAN | PBEsol geometry" magnetic_moment_mub_per_fu=0.690 n_ef_per_ev_cell=1.69 rho_g_cm3=11.91 e_tot_ev_per_atom=-21.22 crystal_system=cubic pbc="T T T"
Re 0.000 0.000 0.000
Ag 1.730 1.730 1.730
H 0.000 1.730 1.730
H 1.730 0.000 1.730
H 1.730 1.730 0.000

16
Lattice="5.320 0.000 0.000 0.000 5.320 0.000 0.000 0.000 5.320" Properties=species:S:1:pos:R:3 comment="ReAgH2 | the Alexandria database | meta-GGA SCAN | PBEsol geometry" magnetic_moment_mub_per_fu=2.133 polymorph_energy_mev_per_atom=746 n_ef_per_ev_cell=4.87 rho_g_cm3=13.06 crystal_system=cubic pbc="T T T"
Re 0.000 0.000 0.000
Re 0.000 2.660 2.660
Re 2.660 0.000 2.660
Re 2.660 2.660 0.000
Ag 0.000 0.000 2.660
Ag 0.000 2.660 0.000
Ag 2.660 0.000 0.000
Ag 2.660 2.660 2.660
H 1.330 1.330 1.330
H 1.330 1.330 3.990
H 1.330 3.990 1.330
H 1.330 3.990 3.990
H 3.990 1.330 1.330
H 3.990 1.330 3.990
H 3.990 3.990 1.330
H 3.990 3.990 3.990

5
Lattice="3.439 0.000 0.000 0.000 3.439 0.000 0.000 0.000 3.439" Properties=species:S:1:pos:R:3 comment="AgH3Rh | the Alexandria database | meta-GGA SCAN | PBEsol geometry" magnetic_moment_mub_per_fu=0.000 polymorph_energy_mev_per_atom=14 n_ef_per_ev_cell=0.66 rho_g_cm3=8.73 crystal_system=cubic pbc="T T T"
Ag 0.000 0.000 0.000
H 0.000 1.720 1.720
H 1.720 0.000 1.720
H 1.720 1.720 0.000
Rh 1.720 1.720 1.720